Entry 1:
Computed, not measured: CrIrOs2 after structural relaxation at the GGA-PBE level of DFT.

Total magnetic moment   0.00 μB/f.u.
Polymorph energy (0 for the lowest one)   0.408 eV per formula unit
Energy of formation   0.080 eV/atom

abc: 8.855 8.855 8.855
angles: 17.62 17.62 17.62
Fractional coordinates of all 4 atoms:
Os  0.999  0.999  0.999
Ir  0.753  0.753  0.753
Os  0.248  0.248  0.248
Cr  0.500  0.500  0.500

***

Entry 2:
Computed, not measured: RbNa2Hg4Au after structural relaxation at the GGA-PBE level of DFT.

Total magnetic moment   0.00 μB/f.u.
Energy of formation   -0.220 eV/atom

abc: 5.178 5.178 11.280
angles: 76.73 76.73 60.00
Fractional coordinates of all 8 atoms:
Hg  0.108  0.108  0.676
Rb  0.000  0.000  0.000
Na  0.796  0.796  0.612
Na  0.204  0.204  0.388
Hg  0.892  0.892  0.324
Au  0.500  0.500  0.500
Hg  0.409  0.409  0.773
Hg  0.591  0.591  0.227